Here is a relaxed BaCdGaHg2 crystal from the Alexandria database. Energies are from PBE-GGA.

Unit cell a=6.8668 b=6.8668 c=6.8668 alpha=138.98 beta=138.75 gamma=59.58
Last column: nearest neighbours and their distance in Å.
Atoms (fractional coordinates):
Ba (0.0000, 0.0000, 0.0000)  8 Hg 3.65-3.93, 4 Ga 3.71, 4 Cd 3.77-3.90
Cd (0.2431, 0.7431, 0.5000)  2 Ga 2.81, 2 Hg 2.99
Ga (0.6225, 0.6225, 0.0000)  3 Hg 2.75-2.78, 2 Cd 2.81
Hg (0.3921, 0.3921, 0.0000)  1 Ga 2.75, 2 Cd 2.99, 2 Hg 3.03
Hg (0.7388, 0.2388, 0.5000)  2 Ga 2.78, 2 Hg 3.03

Properties
Symmetry: Imm2, No. 44
Raw total energy (eV/atom): -1.64
Offset from the most stable computed form (meV/atom): 0.0
Crystal system: orthorhombic
Calculated formation energy (kJ/mol of formula units): -168